First-principles (SCAN) data for FeSF3 at its PBEsol-relaxed geometry, as listed in the Alexandria database.

Summary:
* final energy: -7.813 eV per atom
* volume: 73.6 Å³/f.u.
* total magnetization: 3.8 μB/f.u.

Cell lengths 4.1900, 4.1900, 4.1900 Å; angles 90.00, 90.00, 90.00 degrees
Each line ends with the local moment (μB).
Atoms (fractional coordinates):
F (0.0000, 0.5000, 0.0000)  0.03
F (0.5000, 0.0000, 0.0000)  0.03
F (0.0000, 0.0000, 0.5000)  0.03
Fe (0.5000, 0.5000, 0.5000)  3.23
S (0.0000, 0.0000, 0.0000)  0.13

***

First-principles (SCAN) data for Sr2FeSbF at its PBEsol-relaxed geometry, as listed in the Alexandria database.

Summary:
* final energy: -21.466 eV per atom
* volume: 126.4 Å³/f.u.
* total magnetization: 3.4 μB/f.u.

Cell lengths 4.7427, 4.7427, 5.6211 Å; angles 90.00, 90.00, 90.00 degrees
Each line ends with the local moment (μB).
Atoms (fractional coordinates):
Sr (0.5000, 0.0000, 0.0000)  -0.03
Sr (0.0000, 0.5000, 0.0000)  -0.03
Sb (0.0000, 0.0000, 0.5000)  0.08
F (0.0000, 0.0000, 0.0000)  0.04
Fe (0.5000, 0.5000, 0.5000)  3.22

***

First-principles (SCAN) data for FeSeF3 at its PBEsol-relaxed geometry, as listed in the Alexandria database.

Summary:
* final energy: -10.077 eV per atom
* volume: 81.2 Å³/f.u.
* total magnetization: 3.8 μB/f.u.

Cell lengths 4.3298, 4.3298, 4.3298 Å; angles 90.00, 90.00, 90.00 degrees
Each line ends with the local moment (μB).
Atoms (fractional coordinates):
Se (0.0000, 0.0000, 0.0000)  0.05
F (0.0000, 0.5000, 0.0000)  0.03
F (0.0000, 0.0000, 0.5000)  0.03
F (0.5000, 0.0000, 0.0000)  0.03
Fe (0.5000, 0.5000, 0.5000)  3.27

***

First-principles (SCAN) data for FeSn2F at its PBEsol-relaxed geometry, as listed in the Alexandria database.

Summary:
* final energy: -23.764 eV per atom
* volume: 66.8 Å³/f.u.
* total magnetization: 2.5 μB/f.u.

Cell lengths 4.5554, 4.5554, 4.5554 Å; angles 60.00, 60.00, 60.00 degrees
Each line ends with the local moment (μB).
Atoms (fractional coordinates):
Sn (0.2500, 0.2500, 0.2500)  -0.05
Sn (0.7500, 0.7500, 0.7500)  -0.05
F (0.0000, 0.0000, 0.0000)  0.01
Fe (0.5000, 0.5000, 0.5000)  2.45

***

First-principles (SCAN) data for Fe3SnF at its PBEsol-relaxed geometry, as listed in the Alexandria database.

Summary:
* final energy: -18.749 eV per atom
* volume: 68.0 Å³/f.u.
* total magnetization: 9.0 μB/f.u.

Cell lengths 4.0810, 4.0810, 4.0810 Å; angles 90.00, 90.00, 90.00 degrees
Each line ends with the local moment (μB).
Atoms (fractional coordinates):
Fe (0.0000, 0.0000, 0.5000)  3.04
Fe (0.0000, 0.5000, 0.0000)  3.04
Fe (0.5000, 0.0000, 0.0000)  3.04
F (0.0000, 0.0000, 0.0000)  0.14
Sn (0.5000, 0.5000, 0.5000)  -0.09

***

First-principles (SCAN) data for FeSnF2 at its PBEsol-relaxed geometry, as listed in the Alexandria database.

Summary:
* final energy: -16.739 eV per atom
* volume: 69.2 Å³/f.u.
* total magnetization: 3.9 μB/f.u.

Cell lengths 3.0748, 3.0748, 8.6348 Å; angles 79.74, 79.74, 60.00 degrees
Each line ends with the local moment (μB).
Atoms (fractional coordinates):
Fe (0.5000, 0.5000, 0.5000)  3.64
Sn (0.0000, 0.0000, 0.0000)  0.00
F (0.8765, 0.8765, 0.3704)  0.10
F (0.1235, 0.1235, 0.6296)  0.10

***

First-principles (SCAN) data for SrFeF2 at its PBEsol-relaxed geometry, as listed in the Alexandria database.

Summary:
* final energy: -13.501 eV per atom
* volume: 71.4 Å³/f.u.
* total magnetization: 3.3 μB/f.u.

Cell lengths 3.7224, 3.7224, 6.3297 Å; angles 72.90, 72.90, 60.00 degrees
Each line ends with the local moment (μB).
Atoms (fractional coordinates):
F (0.8697, 0.8697, 0.3910)  0.04
F (0.1303, 0.1303, 0.6090)  0.04
Fe (0.5000, 0.5000, 0.5000)  3.35
Sr (0.0000, 0.0000, 0.0000)  -0.03

***

First-principles (SCAN) data for TaFeF3 at its PBEsol-relaxed geometry, as listed in the Alexandria database.

Summary:
* final energy: -20.148 eV per atom
* volume: 72.9 Å³/f.u.
* total magnetization: 2.0 μB/f.u.

Cell lengths 4.1765, 4.1765, 4.1765 Å; angles 90.00, 90.00, 90.00 degrees
Each line ends with the local moment (μB).
Atoms (fractional coordinates):
Fe (0.5000, 0.5000, 0.5000)  3.54
F (0.0000, 0.0000, 0.5000)  -0.01
F (0.5000, 0.0000, 0.0000)  -0.01
F (0.0000, 0.5000, 0.0000)  -0.01
Ta (0.0000, 0.0000, 0.0000)  -1.50

***

First-principles (SCAN) data for TaFeF2 at its PBEsol-relaxed geometry, as listed in the Alexandria database.

Summary:
* final energy: -24.131 eV per atom
* volume: 49.2 Å³/f.u.
* total magnetization: 3.4 μB/f.u.

Cell lengths 2.7755, 2.7755, 7.5398 Å; angles 79.39, 79.39, 60.00 degrees
Each line ends with the local moment (μB).
Atoms (fractional coordinates):
Fe (0.5000, 0.5000, 0.5000)  3.25
Ta (0.0000, 0.0000, 0.0000)  0.03
F (0.9032, 0.9032, 0.2905)  0.05
F (0.0968, 0.0968, 0.7095)  0.05

***

First-principles (SCAN) data for Tl2FeWF at its PBEsol-relaxed geometry, as listed in the Alexandria database.

Summary:
* final energy: -46.615 eV per atom
* volume: 93.2 Å³/f.u.
* total magnetization: 4.3 μB/f.u.

Cell lengths 3.4523, 5.1969, 5.1969 Å; angles 90.00, 90.00, 90.00 degrees
Each line ends with the local moment (μB).
Atoms (fractional coordinates):
Tl (0.0000, 0.5000, 0.0000)  -0.06
Tl (0.0000, 0.0000, 0.5000)  -0.06
W (0.5000, 0.5000, 0.5000)  1.22
Fe (0.0000, 0.0000, 0.0000)  2.83
F (0.5000, 0.0000, 0.0000)  0.10

***

First-principles (SCAN) data for Fe3WF at its PBEsol-relaxed geometry, as listed in the Alexandria database.

Summary:
* final energy: -23.975 eV per atom
* volume: 88.0 Å³/f.u.
* total magnetization: 5.1 μB/f.u.

Cell lengths 4.4474, 4.4474, 4.4474 Å; angles 90.00, 90.00, 90.00 degrees
Each line ends with the local moment (μB).
Atoms (fractional coordinates):
Fe (0.0000, 0.0000, 0.5000)  2.04
Fe (0.5000, 0.0000, 0.0000)  2.04
Fe (0.0000, 0.5000, 0.0000)  2.04
F (0.5000, 0.5000, 0.5000)  -0.03
W (0.0000, 0.0000, 0.0000)  -0.91

***

First-principles (SCAN) data for FeWF2 at its PBEsol-relaxed geometry, as listed in the Alexandria database.

Summary:
* final energy: -24.713 eV per atom
* volume: 46.4 Å³/f.u.
* relative energy among the computed polymorphs: 0 meV per atom
* total magnetization: 3.3 μB/f.u.

Cell lengths 2.6889, 2.6889, 7.5651 Å; angles 79.76, 79.76, 60.00 degrees
Each line ends with the local moment (μB).
Atoms (fractional coordinates):
F (0.9055, 0.9055, 0.2834)  0.05
F (0.0945, 0.0945, 0.7166)  0.05
W (0.0000, 0.0000, 0.0000)  0.02
Fe (0.5000, 0.5000, 0.5000)  3.21

***

First-principles (SCAN) data for FeWF2 at its PBEsol-relaxed geometry, as listed in the Alexandria database.

Summary:
* final energy: -23.424 eV per atom
* volume: 45.9 Å³/f.u.
* relative energy among the computed polymorphs: 1289 meV per atom
* total magnetization: 2.2 μB/f.u.

Cell lengths 4.0176, 4.0176, 4.0176 Å; angles 60.00, 60.00, 60.00 degrees
Each line ends with the local moment (μB).
Atoms (fractional coordinates):
W (0.5000, 0.5000, 0.5000)  -0.75
F (0.2500, 0.2500, 0.2500)  0.03
F (0.7500, 0.7500, 0.7500)  0.03
Fe (0.0000, 0.0000, 0.0000)  3.06

***

First-principles (SCAN) data for FeWF3 at its PBEsol-relaxed geometry, as listed in the Alexandria database.

Summary:
* final energy: -20.091 eV per atom
* volume: 67.7 Å³/f.u.
* total magnetization: 9.2 μB/f.u.

Cell lengths 4.0764, 4.0764, 4.0764 Å; angles 90.00, 90.00, 90.00 degrees
Each line ends with the local moment (μB).
Atoms (fractional coordinates):
F (0.0000, 0.5000, 0.0000)  0.16
F (0.0000, 0.0000, 0.5000)  0.16
F (0.5000, 0.0000, 0.0000)  0.16
W (0.5000, 0.5000, 0.5000)  3.66
Fe (0.0000, 0.0000, 0.0000)  3.82

***

First-principles (SCAN) data for Zr3FeF at its PBEsol-relaxed geometry, as listed in the Alexandria database.

Summary:
* final energy: -22.620 eV per atom
* volume: 108.5 Å³/f.u.
* total magnetization: 0.0 μB/f.u.

Cell lengths 4.7691, 4.7691, 4.7691 Å; angles 90.00, 90.00, 90.00 degrees
Atoms (fractional coordinates):
Zr (0.5000, 0.0000, 0.0000)
Zr (0.0000, 0.5000, 0.0000)
Zr (0.0000, 0.0000, 0.5000)
Fe (0.0000, 0.0000, 0.0000)
F (0.5000, 0.5000, 0.5000)

***

First-principles (SCAN) data for ZrFeF6 at its PBEsol-relaxed geometry, as listed in the Alexandria database.

Summary:
* final energy: -12.102 eV per atom
* volume: 130.5 Å³/f.u.
* total magnetization: 4.0 μB/f.u.

Cell lengths 5.6801, 5.6797, 5.7074 Å; angles 60.16, 60.13, 59.97 degrees
Each line ends with the local moment (μB).
Atoms (fractional coordinates):
F (0.2803, 0.2176, 0.7499)  0.03
F (0.7197, 0.7824, 0.2501)  0.03
F (0.2168, 0.7506, 0.7513)  0.04
F (0.2500, 0.7199, 0.2480)  0.03
F (0.7500, 0.2801, 0.7520)  0.03
F (0.7832, 0.2494, 0.2487)  0.04
Zr (0.0000, 0.0000, 0.0000)  0.02
Fe (0.5000, 0.5000, 0.5000)  3.73

***

First-principles (SCAN) data for ZrFeF6 at its PBEsol-relaxed geometry, as listed in the Alexandria database.

Summary:
* final energy: -12.102 eV per atom
* volume: 132.0 Å³/f.u.
* total magnetization: 4.0 μB/f.u.

Cell lengths 5.7158, 5.7158, 5.7158 Å; angles 90.00, 120.00, 120.00 degrees
Each line ends with the local moment (μB).
Atoms (fractional coordinates):
F (0.0000, 0.7490, 0.2511)  0.03
F (0.4979, 0.7490, 0.7490)  0.03
F (0.5021, 0.2511, 0.2511)  0.03
F (0.0000, 0.2510, 0.2510)  0.04
F (0.0000, 0.2511, 0.7490)  0.03
F (0.0000, 0.7490, 0.7490)  0.04
Zr (0.0000, 0.5000, 0.5000)  0.02
Fe (0.0000, 0.0000, 0.0000)  3.73

***

First-principles (SCAN) data for GaF3 at its PBEsol-relaxed geometry, as listed in the Alexandria database.

Summary:
* final energy: -9.548 eV per atom
* volume: 46.8 Å³/f.u.
* total magnetization: 0.0 μB/f.u.

Cell lengths 4.9703, 4.9703, 5.2354 Å; angles 61.66, 61.66, 60.00 degrees
Atoms (fractional coordinates):
F (0.3688, 0.1312, 0.7500)
F (0.7500, 0.3688, 0.7500)
F (0.2500, 0.6312, 0.2500)
F (0.8688, 0.2500, 0.2500)
F (0.1312, 0.7500, 0.7500)
F (0.6312, 0.8688, 0.2500)
Ga (0.0000, 0.0000, 0.0000)
Ga (0.5000, 0.5000, 0.5000)

***

First-principles (SCAN) data for GaH4NF4 at its PBEsol-relaxed geometry, as listed in the Alexandria database.

Summary:
* final energy: -7.061 eV per atom
* volume: 87.9 Å³/f.u.
* total magnetization: 0.0 μB/f.u.

Cell lengths 5.2579, 5.2579, 7.3669 Å; angles 110.91, 110.91, 90.00 degrees
Atoms (fractional coordinates):
N (0.2500, 0.7500, 0.5000)
N (0.7500, 0.2500, 0.5000)
H (0.6852, 0.1852, 0.5955)
H (0.3148, 0.8148, 0.4045)
H (0.5896, 0.3148, 0.4045)
H (0.0896, 0.5896, 0.4045)
H (0.9104, 0.4104, 0.5955)
H (0.1852, 0.9104, 0.5955)
H (0.4104, 0.6852, 0.5955)
H (0.8148, 0.0896, 0.4045)
F (0.6825, 0.8175, 0.0000)
F (0.1452, 0.1452, 0.2905)
F (0.3548, 0.3548, 0.7095)
F (0.1825, 0.6825, 0.0000)
F (0.8548, 0.8548, 0.7095)
F (0.6452, 0.6452, 0.2905)
F (0.8175, 0.3175, 0.0000)
F (0.3175, 0.1825, 0.0000)
Ga (0.0000, 0.0000, 0.0000)
Ga (0.5000, 0.5000, 0.0000)

***

First-principles (SCAN) data for GaHN2F at its PBEsol-relaxed geometry, as listed in the Alexandria database.

Summary:
* final energy: -7.566 eV per atom
* volume: 61.0 Å³/f.u.
* total magnetization: 3.0 μB/f.u.

Cell lengths 3.9651, 3.9651, 3.8802 Å; angles 90.00, 90.00, 90.00 degrees
Each line ends with the local moment (μB).
Atoms (fractional coordinates):
N (0.0000, 0.5000, 0.0000)  1.29
N (0.5000, 0.0000, 0.0000)  1.29
Ga (0.0000, 0.0000, 0.0000)  -0.06
H (0.5000, 0.5000, 0.5000)  -0.32
F (0.0000, 0.0000, 0.5000)  0.04

***

First-principles (SCAN) data for GaH6N2F3 at its PBEsol-relaxed geometry, as listed in the Alexandria database.

Summary:
* final energy: -6.800 eV per atom
* volume: 97.5 Å³/f.u.
* total magnetization: 0.0 μB/f.u.

Cell lengths 3.9999, 5.0955, 5.5754 Å; angles 80.81, 68.98, 66.89 degrees
Atoms (fractional coordinates):
F (0.5221, 0.1981, 0.7578)
F (0.0000, 0.5000, 0.5000)
F (0.4779, 0.8019, 0.2422)
H (0.6333, 0.0786, 0.2395)
H (0.1776, 0.6929, 0.9520)
H (0.9515, 0.9214, 0.7605)
H (0.0485, 0.0786, 0.2395)
H (0.8224, 0.3071, 0.0480)
H (0.3667, 0.9214, 0.7605)
N (0.7797, 0.2128, 0.2279)
N (0.2203, 0.7872, 0.7721)
Ga (0.5000, 0.5000, 0.5000)

***

First-principles (SCAN) data for GaHOF2 at its PBEsol-relaxed geometry, as listed in the Alexandria database.

Summary:
* final energy: -7.481 eV per atom
* volume: 38.8 Å³/f.u.
* total magnetization: 0.0 μB/f.u.

Cell lengths 3.0107, 3.0107, 4.2794 Å; angles 90.00, 90.00, 90.00 degrees
Atoms (fractional coordinates):
H (0.0000, 0.0000, 0.0000)
F (0.0000, 0.5000, 0.0000)
F (0.5000, 0.0000, 0.0000)
O (0.0000, 0.0000, 0.5000)
Ga (0.5000, 0.5000, 0.5000)

***

First-principles (SCAN) data for GaTeH2F at its PBEsol-relaxed geometry, as listed in the Alexandria database.

Summary:
* final energy: -12.458 eV per atom
* volume: 64.5 Å³/f.u.
* total magnetization: 0.0 μB/f.u.

Cell lengths 3.9691, 3.9691, 4.0917 Å; angles 90.00, 90.00, 90.00 degrees
Atoms (fractional coordinates):
Ga (0.0000, 0.0000, 0.5000)
F (0.0000, 0.0000, 0.0000)
Te (0.5000, 0.5000, 0.5000)
H (0.0000, 0.5000, 0.0000)
H (0.5000, 0.0000, 0.0000)

***

First-principles (SCAN) data for HfGa2F at its PBEsol-relaxed geometry, as listed in the Alexandria database.

Summary:
* final energy: -25.083 eV per atom
* volume: 66.7 Å³/f.u.
* total magnetization: 0.0 μB/f.u.

Cell lengths 4.5529, 4.5529, 4.5529 Å; angles 60.00, 60.00, 60.00 degrees
Atoms (fractional coordinates):
Hf (0.5000, 0.5000, 0.5000)
Ga (0.7500, 0.7500, 0.7500)
Ga (0.2500, 0.2500, 0.2500)
F (0.0000, 0.0000, 0.0000)

***

First-principles (SCAN) data for HfGaF2 at its PBEsol-relaxed geometry, as listed in the Alexandria database.

Summary:
* final energy: -23.481 eV per atom
* volume: 65.2 Å³/f.u.
* total magnetization: 0.0 μB/f.u.

Cell lengths 2.8603, 2.8603, 9.3425 Å; angles 81.19, 81.19, 60.00 degrees
Atoms (fractional coordinates):
Hf (0.5000, 0.5000, 0.5000)
F (0.1117, 0.1117, 0.6650)
F (0.8883, 0.8883, 0.3350)
Ga (0.0000, 0.0000, 0.0000)

***

First-principles (SCAN) data for KGaHgF2 at its PBEsol-relaxed geometry, as listed in the Alexandria database.

Summary:
* final energy: -20.561 eV per atom
* volume: 132.3 Å³/f.u.
* total magnetization: 0.0 μB/f.u.

Cell lengths 4.6908, 4.6908, 6.0112 Å; angles 90.00, 90.00, 90.00 degrees
Atoms (fractional coordinates):
K (0.0000, 0.0000, 0.5000)
F (0.0000, 0.5000, 0.0000)
F (0.5000, 0.0000, 0.0000)
Ga (0.5000, 0.5000, 0.5000)
Hg (0.0000, 0.0000, 0.0000)

***

First-principles (SCAN) data for GaHgN2F at its PBEsol-relaxed geometry, as listed in the Alexandria database.

Summary:
* final energy: -20.978 eV per atom
* volume: 61.0 Å³/f.u.
* total magnetization: 2.1 μB/f.u.

Cell lengths 3.8829, 3.9619, 3.9619 Å; angles 90.00, 90.00, 90.00 degrees
Each line ends with the local moment (μB).
Atoms (fractional coordinates):
F (0.5000, 0.0000, 0.0000)  -0.01
Hg (0.5000, 0.5000, 0.5000)  -0.10
N (0.0000, 0.0000, 0.5000)  0.84
N (0.0000, 0.5000, 0.0000)  0.84
Ga (0.0000, 0.0000, 0.0000)  -0.04

***

First-principles (SCAN) data for GaI3F at its PBEsol-relaxed geometry, as listed in the Alexandria database.

Summary:
* final energy: -25.992 eV per atom
* volume: 161.9 Å³/f.u.
* total magnetization: 0.9 μB/f.u.

Cell lengths 5.4503, 5.4503, 5.4503 Å; angles 90.00, 90.00, 90.00 degrees
Each line ends with the local moment (μB).
Atoms (fractional coordinates):
Ga (0.0000, 0.0000, 0.0000)  -0.01
F (0.5000, 0.5000, 0.5000)  0.40
I (0.5000, 0.0000, 0.0000)  0.10
I (0.0000, 0.5000, 0.0000)  0.10
I (0.0000, 0.0000, 0.5000)  0.10